A relaxed CaCoTeN2 crystal, computed with GGA-PBE.

Lattice parameters (Å, degrees): 4.0153 4.0153 5.3230 90.00 90.00 90.00
Space group P4/mmm (No. 123)
Asymmetric unit:
Ca 0.0000 0.0000 0.0000
Co 0.5000 0.5000 0.5000
Te 0.5000 0.5000 0.0000
N 0.0000 0.5000 0.5000

Computed properties:
* E above lowest polymorph: 0.000 eV per atom
* ΔE_f (raw): 0.592 eV per atom
* total DFT energy (no corrections): -5.188 eV per atom

A relaxed CaUCoN3 crystal, computed with GGA-PBE.

Lattice parameters (Å, degrees): 6.5015 3.4861 7.8954 90.00 100.27 90.00
Space group P2_1/m (No. 11)
Asymmetric unit:
Ca 0.2267 0.2500 0.2569
U 0.3308 0.2500 0.8351
Co 0.1160 0.7500 0.5652
N 0.0188 0.2500 0.6611
N 0.3259 0.7500 0.0303
N 0.3966 0.7500 0.6927

Computed properties:
* ΔE_f (raw): -0.882 eV per atom
* total DFT energy (no corrections): -8.443 eV per atom

A relaxed CaV2CoN crystal, computed with GGA-PBE.

Lattice parameters (Å, degrees): 3.8732 3.8732 4.7152 90.00 90.00 90.00
Space group P4/mmm (No. 123)
Asymmetric unit:
Ca 0.0000 0.0000 0.0000
V 0.0000 0.5000 0.5000
Co 0.5000 0.5000 0.0000
N 0.0000 0.0000 0.5000

Computed properties:
* ΔE_f (raw): -0.063 eV per atom
* total DFT energy (no corrections): -7.197 eV per atom